1.
ScCoSbI2 (GGA-PBE, optimized geometry); formation energy without anion corrections = 1.3 eV per formula unit; energy = -3.87 eV/atom; space-group type = P4/mmm, No. 123; V = 135 Å³/cell
1.0
5.158 0.000 0.000
0.000 5.158 0.000
0.000 0.000 5.076
Sc Co Sb I
1 1 1 2
Cartesian
0.000 0.000 0.000
2.579 2.579 2.538
2.579 2.579 0.000
0.000 2.579 2.538
2.579 0.000 2.538

***

2.
LiYZn2 (GGA-PBE, optimized geometry); energy = -2.67 eV/atom; energy of formation = 0.060 eV/atom; space-group type = I-42d, No. 122; V = 175 Å³/cell
1.0
-2.210 2.210 8.953
2.210 -2.210 8.953
2.210 2.210 -8.953
Li Y Zn
2 2 4
Cartesian
0.000 0.000 0.000
0.000 2.210 4.476
2.210 0.000 4.476
0.000 0.000 8.953
0.541 1.105 2.238
-1.105 1.669 6.714
-0.541 3.315 2.238
1.105 2.750 6.714

***

3.
Cs2TiBr4F2 (GGA-PBE, optimized geometry); formation energy without anion corrections = -18.7 eV per formula unit; energy = -4.30 eV/atom; space-group type = C2/m, No. 12; V = 292 Å³/cell
1.0
6.215 -3.872 0.000
6.215 3.872 0.000
-1.446 0.000 6.070
Cs Ti Br F
2 1 4 2
Cartesian
1.685 0.000 2.010
9.298 0.000 4.060
6.215 0.000 0.000
4.820 1.827 1.131
6.163 1.827 4.938
4.820 -1.827 1.131
6.163 -1.827 4.938
3.590 0.000 4.637
7.393 0.000 1.433

***

4.
Nd3InSn2 (GGA-PBE, optimized geometry); energy = -4.79 eV/atom; energy of formation = -0.618 eV/atom; space-group type = Pnma, No. 62; V = 731 Å³/cell
1.0
12.804 0.000 0.000
0.000 4.684 0.000
0.000 0.000 12.195
Nd In Sn
12 4 8
Cartesian
0.559 1.171 1.483
1.694 3.513 6.949
2.643 1.171 9.848
3.759 3.513 3.750
4.708 1.171 0.851
5.843 3.513 7.581
6.961 1.171 4.614
8.096 3.513 11.344
9.045 1.171 8.445
10.161 3.513 2.347
11.110 1.171 5.246
12.245 3.513 10.712
1.765 1.171 4.475
4.637 3.513 10.573
8.167 1.171 1.622
11.039 3.513 7.720
0.110 3.513 3.862
2.356 3.513 0.239
4.046 1.171 6.337
6.292 1.171 9.960
6.512 3.513 2.236
8.758 3.513 5.859
10.448 1.171 11.956
12.694 1.171 8.333

***

5.
LaMg2Co2 (GGA-PBE, optimized geometry); energy = -4.37 eV/atom; energy of formation = 0.099 eV/atom; space-group type = P4/mbm, No. 127; V = 177 Å³/cell
1.0
7.568 0.000 0.000
0.000 7.568 0.000
0.000 0.000 3.086
La Mg Co
2 4 4
Cartesian
0.000 0.000 0.000
3.784 3.784 0.000
0.985 2.799 1.543
2.799 6.582 1.543
4.769 0.985 1.543
6.582 4.769 1.543
1.258 5.042 0.000
2.526 1.258 0.000
5.042 6.310 0.000
6.310 2.526 0.000

***

6.
ErPdPtPb (GGA-PBE, optimized geometry); energy = -5.62 eV/atom; energy of formation = -0.742 eV/atom; space-group type = F-43m, No. 216; V = 81 Å³/cell
1.0
0.000 3.437 3.437
3.437 0.000 3.437
3.437 3.437 0.000
Er Pd Pt Pb
1 1 1 1
Cartesian
0.000 0.000 0.000
5.155 5.155 5.155
1.718 1.718 1.718
3.437 3.437 3.437